No. 1
Here is an optimized crystal structure of Rb4Pm3NdTe8 from Alexandria. Energies are from GGA-PBE.

Summary:
E_form (uncorrected): -1.4074 eV per atom
M_tot: 0.0 Bohr magnetons per cell
DFT total energy: -4.41 eV per atom

Lattice parameters (Å, degrees): 9.2600 10.1024 9.2601 117.29 120.00 90.00
Element x y z (fractional)
Rb: 0.5000 0.0000 0.0000
Rb: 0.5000 0.0000 0.5000
Rb: 0.0000 0.0000 0.0000
Rb: 0.0000 0.0000 0.5000
Pm: 0.5000 0.5000 0.0000
Pm: 0.5000 0.5000 0.5000
Pm: 0.0000 0.5000 0.5000
Nd: 0.0000 0.5000 0.0000
Te: 0.2356 0.7044 0.9690
Te: 0.2356 0.7044 0.4711
Te: 0.2654 0.2963 0.5308
Te: 0.7334 0.7044 0.9690
Te: 0.2666 0.2956 0.0310
Te: 0.7346 0.7037 0.4692
Te: 0.7644 0.2956 0.5289
Te: 0.7644 0.2956 0.0310

No. 2
Here is an optimized crystal structure of NaSr2RuN from Alexandria. Energies are from GGA-PBE.

Summary:
E_form (uncorrected): -0.1972 eV per atom
M_tot: 0.0 Bohr magnetons per cell
D(E_F): 2.28 states/eV per cell
DFT total energy: -4.65 eV per atom

Lattice parameters (Å, degrees): 5.5839 5.5839 3.8705 90.00 90.00 90.00
Element x y z (fractional)
Ru: 0.0000 0.0000 0.5000
N: 0.0000 0.0000 0.0000
Na: 0.5000 0.5000 0.5000
Sr: 0.0000 0.5000 0.0000
Sr: 0.5000 0.0000 0.0000

No. 3
Here is an optimized crystal structure of HfMo from Alexandria. Energies are from GGA-PBE.

Summary:
Formation energy from the elements: 0.061 eV per atom
M_tot: 0.0 Bohr magnetons per cell
D(E_F): 1.83 states/eV per cell
DFT total energy: -10.33 eV per atom

Lattice parameters (Å, degrees): 2.9762 2.9762 4.4481 90.00 90.00 111.70
Element x y z (fractional)
Hf: 0.0000 0.0000 0.0000
Mo: 0.5000 0.5000 0.5000